Model w:
Here is a relaxed Sm5Sb4Te crystal from Alexandria. Energies are from GGA-PBE.

Cell and atoms, written as POSCAR:
```
Sm5Sb4Te
1.0
4.467 0.000 0.000
0.000 4.467 0.000
-2.233 -2.233 15.795
Sm Te Sb
5 1 4
Direct
0.500 0.500 0.000
0.102 0.102 0.204
0.700 0.700 0.400
0.898 0.898 0.796
0.300 0.300 0.600
0.000 0.000 0.000
0.200 0.200 0.401
0.800 0.800 0.599
0.401 0.401 0.802
0.599 0.599 0.198
```

***

Model x:
Here is a relaxed Sm5Sb4Te crystal from Alexandria. Energies are from GGA-PBE.

Cell and atoms, written as POSCAR:
```
Sm5Sb4Te
1.0
5.691 0.000 2.745
2.845 7.063 1.372
-0.223 0.000 7.734
Sm Sb Te
5 4 1
Direct
0.696 0.203 0.406
0.900 0.406 0.797
0.103 0.594 0.203
0.501 0.000 0.000
0.306 0.797 0.594
0.400 0.400 0.803
0.800 0.803 0.600
0.602 0.600 0.197
0.202 0.197 0.400
0.001 0.000 0.000
```

***

Most stable to least stable, the ends of the list are model x and model w.

***

Model w:
Here is a relaxed Sm2ThSb crystal from Alexandria. Energies are from GGA-PBE.

Cell and atoms, written as POSCAR:
```
Sm2ThSb
1.0
3.986 0.000 0.000
0.000 3.986 0.000
0.000 0.000 7.527
Sm Sb Th
2 1 1
Direct
0.000 0.000 0.720
0.000 0.000 0.280
0.500 0.500 0.500
0.500 0.500 0.000
```

***

Model x:
Here is a relaxed Sm2ThSb crystal from Alexandria. Energies are from GGA-PBE.

Cell and atoms, written as POSCAR:
```
Sm2ThSb
1.0
-2.739 -2.446 -3.003
-0.713 -3.463 3.471
-3.982 2.456 1.632
Th Sm Sb
1 2 1
Direct
0.500 0.500 0.500
0.000 0.000 0.500
0.000 0.500 0.000
0.500 0.000 0.000
```

***

Most stable to least stable, the ends of the list are model w and model x.